# Ta2CrAg

A PBEsol-optimized structure of Ta2CrAg (SCAN, the Alexandria database).

Properties
The value obtained for the magnetization is 0.38 μB/f.u. The calculation puts the energy of formation from the pure elements at 0.29 eV per atom. The space group is Cmm2 (35). As for the energy relative to the lowest polymorph listed for this composition: 0.0 meV per atom. Its calculated total energy is -181.7 eV per cell.

abc: 2.741 2.741 8.948
angles: 90.00 90.00 108.77
Sites, in units of the cell vectors:
Ta  0.000  0.000  0.000
Ta  0.500  0.500  0.268
Cr  0.500  0.500  0.778
Ag  0.000  0.000  0.535



# CaZr3Cu

A PBEsol-optimized structure of CaZr3Cu (SCAN, the Alexandria database).

Properties
The value obtained for the magnetization is 0.01 μB/f.u. The calculation puts the energy of formation from the pure elements at 1.90 eV per atom. The space group is Pm-3m (221). Its calculated total energy is -107.4 eV per cell.

abc: 4.900 4.900 4.900
angles: 90.00 90.00 90.00
Sites, in units of the cell vectors:
Ca  0.000  0.000  0.000
Zr  0.000  0.000  0.500
Zr  0.000  0.500  0.000
Zr  0.500  0.000  0.000
Cu  0.500  0.500  0.500



# Sr3V3Bi2O14

A PBEsol-optimized structure of Sr3V3Bi2O14 (SCAN, the Alexandria database).

Properties
The value obtained for the magnetization is 0.00 μB/f.u. For the uncorrected formation energy, the calculation gives -2.5226 eV per atom. The space group is P-1 (2). Its calculated total energy is -838.4 eV per cell.

abc: 7.009 7.112 13.773
angles: 97.17 97.04 108.90
Sites, in units of the cell vectors:
Sr  0.238  0.339  0.318
Sr  0.243  0.908  0.057
Sr  0.255  0.797  0.546
Sr  0.745  0.203  0.454
Sr  0.757  0.092  0.943
Sr  0.762  0.661  0.682
V  0.234  0.843  0.292
V  0.239  0.387  0.057
V  0.303  0.340  0.582
V  0.697  0.660  0.418
V  0.761  0.613  0.943
V  0.766  0.157  0.708
Bi  0.253  0.619  0.816
Bi  0.257  0.099  0.803
Bi  0.743  0.901  0.197
Bi  0.747  0.381  0.184
O  0.022  0.391  0.101
O  0.071  0.617  0.308
O  0.101  0.964  0.222
O  0.128  0.339  0.484
O  0.147  0.800  0.721
O  0.153  0.178  0.963
O  0.209  0.132  0.637
O  0.347  0.598  0.010
O  0.350  0.002  0.400
O  0.369  0.566  0.665
O  0.376  0.924  0.898
O  0.391  0.332  0.150
O  0.406  0.804  0.219
O  0.470  0.656  0.447
O  0.530  0.344  0.553
O  0.594  0.196  0.781
O  0.609  0.668  0.850
O  0.624  0.076  0.102
O  0.631  0.434  0.335
O  0.650  0.998  0.600
O  0.653  0.402  0.990
O  0.791  0.868  0.363
O  0.847  0.822  0.037
O  0.853  0.200  0.279
O  0.872  0.661  0.516
O  0.899  0.036  0.778
O  0.929  0.383  0.692
O  0.978  0.609  0.899